Entry 1:
Here is a geometry-optimized TlZnTeF structure from OQMD. Energies are from PBE-GGA.

Cell lengths 4.3319, 4.3319, 36.6770 Å; angles 90.00, 90.00, 120.00 degrees
Space group R-3m (No. 166, hexagonal axes)
Symmetry-distinct sites (fractional):
Tl: 0.0000 0.0000 0.1240
Zn: 0.0000 0.0000 0.3081
Te: 0.0000 0.0000 0.3840
F: 0.0000 0.0000 0.1925

Values from the calculation:
The density comes out at 7.0 Mg/m³. The total energy comes out at -3.193 eV per atom.

=====

Entry 2:
Here is a geometry-optimized TbHoS4 structure from OQMD. Energies are from PBE-GGA.

Cell lengths 9.4203, 4.1788, 8.2379 Å; angles 90.00, 111.87, 90.00 degrees
Space group Cm (No. 8)
Symmetry-distinct sites (fractional):
Tb: 0.0000 0.0000 0.0000
Ho: 0.4874 0.0000 0.4482
S: 0.1323 0.0000 0.6037
S: 0.1824 0.0000 0.3711
S: 0.3314 0.0000 0.1005
S: 0.4970 0.0000 0.7950

Values from the calculation:
The magnetic moment is 0.000 μB/cell. The density comes out at 5.0 Mg/m³. The total energy comes out at -5.755 eV per atom.

=====

Entry 3:
Here is a geometry-optimized ZnFeNiPd structure from OQMD. Energies are from PBE-GGA.

Cell lengths 5.9148, 5.9148, 5.9148 Å; angles 90.00, 90.00, 90.00 degrees
Space group F-43m (No. 216)
Symmetry-distinct sites (fractional):
Zn: 0.0000 0.0000 0.0000
Fe: 0.2500 0.2500 0.2500
Ni: 0.0000 0.0000 0.5000
Pd: 0.2500 0.2500 0.7500

Values from the calculation:
The magnetic moment is 12.282 μB/cell. The density comes out at 9.2 Mg/m³. The total energy comes out at -5.160 eV per atom. For the formation energy, the calculation gives -0.081 eV per atom.

=====

Entry 4:
Here is a geometry-optimized K2HgPtCl6 structure from OQMD. Energies are from PBE-GGA.

Cell lengths 10.4283, 10.4283, 10.4283 Å; angles 90.00, 90.00, 90.00 degrees
Space group Fm-3m (No. 225)
Symmetry-distinct sites (fractional):
K: 0.2500 0.2500 0.2500
Hg: 0.0000 0.0000 0.0000
Pt: 0.0000 0.0000 0.5000
Cl: 0.0000 0.0000 0.2703

Values from the calculation:
The magnetic moment is 0.004 μB/cell. The density comes out at 4.0 Mg/m³. The total energy comes out at -2.997 eV per atom.

=====

Entry 5:
Here is a geometry-optimized Ni5Te4 structure from OQMD. Energies are from PBE-GGA.

Cell lengths 9.2027, 9.2027, 3.8653 Å; angles 90.00, 90.00, 90.00 degrees
Space group I4/m (No. 87)
Symmetry-distinct sites (fractional):
Ni: 0.0000 0.0000 0.0000
Ni: 0.1038 0.1687 0.5000
Te: 0.0785 0.7291 0.0000

Values from the calculation:
The magnetic moment is 0.012 μB/cell. The density comes out at 8.2 Mg/m³. The total energy comes out at -4.648 eV per atom.

=====

Entry 6:
Here is a geometry-optimized HoErNi2Ge4 structure from OQMD. Energies are from PBE-GGA.

Cell lengths 4.1554, 4.0490, 16.8431 Å; angles 90.00, 90.00, 90.00 degrees
Space group Amm2 (No. 38)
Symmetry-distinct sites (fractional):
Ho: 0.0000 0.0000 0.0000
Er: 0.5000 0.0000 0.7850
Ni: 0.0000 0.0000 0.2158
Ni: 0.5000 0.0000 0.5695
Ge: 0.0000 0.0000 0.3517
Ge: 0.0000 0.0000 0.6410
Ge: 0.5000 0.0000 0.1444
Ge: 0.5000 0.0000 0.4333

Values from the calculation:
The magnetic moment is 0.003 μB/cell. The density comes out at 8.7 Mg/m³. The total energy comes out at -5.527 eV per atom.

=====

Entry 7:
Here is a geometry-optimized K2Rb2HgP2 structure from OQMD. Energies are from PBE-GGA.

Cell lengths 5.8706, 5.8706, 27.1249 Å; angles 90.00, 90.00, 120.00 degrees
Space group R-3m (No. 166, hexagonal axes)
Symmetry-distinct sites (fractional):
K: 0.0000 0.0000 0.2074
Rb: 0.0000 0.0000 0.3895
Hg: 0.0000 0.0000 0.0000
P: 0.0000 0.0000 0.0893

Values from the calculation:
The density comes out at 3.1 Mg/m³. The total energy comes out at -2.526 eV per atom.

=====

Entry 8:
Here is a geometry-optimized DyHoCS structure from OQMD. Energies are from PBE-GGA.

Cell lengths 3.6951, 3.6951, 12.8709 Å; angles 90.00, 90.00, 120.00 degrees
Space group P6_3mc (No. 186)
Symmetry-distinct sites (fractional):
Dy: 0.3333 0.6667 0.0000
Ho: 0.3333 0.6667 0.7083
C: 0.0000 0.0000 0.1045
S: 0.3333 0.6667 0.3533

Values from the calculation:
The magnetic moment is 0.013 μB/cell. The density comes out at 8.1 Mg/m³. The total energy comes out at -6.897 eV per atom.

=====

Entry 9:
Here is a geometry-optimized TlPd2Pt2 structure from OQMD. Energies are from PBE-GGA.

Cell lengths 3.8549, 3.8549, 12.5203 Å; angles 90.00, 90.00, 90.00 degrees
Space group I4/mmm (No. 139)
Symmetry-distinct sites (fractional):
Tl: 0.0000 0.0000 0.0000
Pd: 0.0000 0.5000 0.2500
Pt: 0.0000 0.0000 0.3987

Values from the calculation:
The magnetic moment is 1.554 μB/cell. The density comes out at 14.4 Mg/m³. The total energy comes out at -4.754 eV per atom.

=====

Entry 10:
Here is a geometry-optimized LaInPd structure from OQMD. Energies are from PBE-GGA.

Cell lengths 8.0592, 8.0592, 4.0948 Å; angles 90.00, 90.00, 120.00 degrees
Space group P-62m (No. 189)
Symmetry-distinct sites (fractional):
La: 0.0000 0.7233 0.0000
In: 0.0000 0.3910 0.5000
Pd: 0.0000 0.0000 0.5000
Pd: 0.3333 0.6667 0.0000

Values from the calculation:
The magnetic moment is 0.017 μB/cell. The density comes out at 7.8 Mg/m³. The total energy comes out at -4.819 eV per atom.

=====

Entry 11:
Here is a geometry-optimized BIrOs2 structure from OQMD. Energies are from PBE-GGA.

Cell lengths 5.9621, 5.9621, 5.9621 Å; angles 90.00, 90.00, 90.00 degrees
Space group F-43m (No. 216)
Symmetry-distinct sites (fractional):
B: 0.0000 0.0000 0.0000
Ir: 0.2500 0.2500 0.2500
Os: 0.0000 0.0000 0.5000
Os: 0.2500 0.2500 0.7500

Values from the calculation:
The magnetic moment is 4.572 μB/cell. The density comes out at 18.3 Mg/m³. The total energy comes out at -8.504 eV per atom.

=====

Entry 12:
Here is a geometry-optimized BPPtO structure from OQMD. Energies are from PBE-GGA.

Cell lengths 3.1847, 7.0343, 4.5077 Å; angles 90.00, 90.00, 90.00 degrees
Space group Pmc2_1 (No. 26)
Symmetry-distinct sites (fractional):
B: 0.0000 0.1007 0.0000
P: 0.5000 0.2818 0.9263
Pt: 0.5000 0.3890 0.4371
O: 0.0000 0.0570 0.3108

Values from the calculation:
The magnetic moment is 0.001 μB/cell. The density comes out at 8.3 Mg/m³. The total energy comes out at -6.605 eV per atom.